DFT (GGA-PBE) results for a relaxed structure of Mn3SbH.

Values from the calculation:
**Space-group type**: I-4m2
**E**: -6.686 eV/atom

a b c (Å): 6.295 6.295 6.295
angles (deg): 131.67 131.67 70.76
Fractional positions:
Mn 0.132 0.132 0.000
Mn 0.362 0.114 0.752
Mn 0.362 0.610 0.248
Mn 0.390 0.638 0.752
Mn 0.868 0.868 0.000
Mn 0.886 0.638 0.248
Sb 0.592 0.092 0.500
Sb 0.908 0.408 0.500
H 0.250 0.750 0.500
H 0.500 0.500 0.000



DFT (GGA-PBE) results for a relaxed structure of Mn3SbH.

Values from the calculation:
**Space-group type**: P2_1/m
**E**: -6.838 eV/atom

a b c (Å): 4.146 5.333 6.640
angles (deg): 90.00 108.15 90.00
Fractional positions:
Mn 0.110 0.250 0.219
Mn 0.305 0.511 0.610
Mn 0.305 0.989 0.610
Mn 0.695 0.011 0.390
Mn 0.695 0.489 0.390
Mn 0.890 0.750 0.781
Sb 0.109 0.750 0.217
Sb 0.891 0.250 0.783
H 0.402 0.750 0.801
H 0.598 0.250 0.199



DFT (GGA-PBE) results for a relaxed structure of Mn3SbH.

Values from the calculation:
**Space-group type**: Imma
**E**: -6.955 eV/atom

a b c (Å): 8.473 8.473 8.473
angles (deg): 153.93 153.52 37.50
Fractional positions:
Mn 0.046 0.796 0.250
Mn 0.316 0.066 0.250
Mn 0.449 0.699 0.750
Mn 0.551 0.301 0.250
Mn 0.684 0.934 0.750
Mn 0.954 0.204 0.750
Sb 0.165 0.415 0.750
Sb 0.835 0.585 0.250
H 0.441 0.191 0.250
H 0.559 0.809 0.750



DFT (GGA-PBE) results for a relaxed structure of Mn3SbH.

Values from the calculation:
**Space-group type**: Cmcm
**E**: -6.526 eV/atom

a b c (Å): 7.020 7.020 4.526
angles (deg): 90.00 90.00 131.08
Fractional positions:
Mn 0.000 0.000 0.000
Mn 0.000 0.000 0.500
Mn 0.113 0.380 0.250
Mn 0.380 0.113 0.750
Mn 0.620 0.887 0.250
Mn 0.887 0.620 0.750
Sb 0.188 0.812 0.250
Sb 0.812 0.188 0.750
H 0.436 0.564 0.250
H 0.564 0.436 0.750



DFT (GGA-PBE) results for a relaxed structure of Mn3SbH.

Values from the calculation:
**Space-group type**: P2_1/c
**E**: -6.861 eV/atom

a b c (Å): 7.204 4.559 9.946
angles (deg): 90.00 130.62 90.00
Fractional positions:
Mn 0.041 0.227 0.339
Mn 0.041 0.273 0.839
Mn 0.273 0.222 0.706
Mn 0.273 0.278 0.206
Mn 0.455 0.746 0.904
Mn 0.455 0.754 0.404
Mn 0.545 0.246 0.596
Mn 0.545 0.254 0.096
Mn 0.727 0.722 0.794
Mn 0.727 0.778 0.294
Mn 0.959 0.727 0.161
Mn 0.959 0.773 0.661
Sb 0.233 0.719 0.543
Sb 0.233 0.781 0.043
Sb 0.767 0.219 0.957
Sb 0.767 0.281 0.457
H 0.312 0.104 0.379
H 0.312 0.396 0.879
H 0.688 0.604 0.121
H 0.688 0.896 0.621



DFT (GGA-PBE) results for a relaxed structure of Mn4Sb2H.

Values from the calculation:
**Space-group type**: I4/mmm
**E**: -6.876 eV/atom

a b c (Å): 3.903 3.903 13.098
angles (deg): 90.00 90.00 90.00
Fractional positions:
Mn 0.000 0.000 0.143
Mn 0.000 0.000 0.857
Mn 0.000 0.500 0.000
Mn 0.000 0.500 0.500
Mn 0.500 0.000 0.000
Mn 0.500 0.000 0.500
Mn 0.500 0.500 0.357
Mn 0.500 0.500 0.643
Sb 0.000 0.000 0.351
Sb 0.000 0.000 0.649
Sb 0.500 0.500 0.149
Sb 0.500 0.500 0.851
H 0.000 0.000 0.000
H 0.500 0.500 0.500



DFT (GGA-PBE) results for a relaxed structure of Mn3SbH.

Values from the calculation:
**Space-group type**: Pm-3m
**E**: -5.572 eV/atom

a b c (Å): 5.124 5.124 5.124
angles (deg): 90.00 90.00 90.00
Fractional positions:
Mn 0.000 0.000 0.500
Mn 0.000 0.500 0.000
Mn 0.500 0.000 0.000
Sb 0.000 0.000 0.000
H 0.500 0.500 0.500



DFT (GGA-PBE) results for a relaxed structure of Mn3SbH.

Values from the calculation:
**Space-group type**: Imma
**E**: -6.708 eV/atom

a b c (Å): 5.494 5.494 5.494
angles (deg): 126.34 99.84 103.68
Fractional positions:
Mn 0.000 0.000 0.500
Mn 0.000 0.500 0.000
Mn 0.239 0.141 0.098
Mn 0.457 0.859 0.598
Mn 0.543 0.141 0.402
Mn 0.761 0.859 0.902
Sb 0.000 0.500 0.500
Sb 0.500 0.500 0.000
H 0.183 0.933 0.250
H 0.817 0.067 0.750